1.
Sc2MnAs | PBE | relaxed

Values from the calculation:
The formation energy is -0.40 eV per atom.

Lattice parameters (Å, degrees): 5.108 5.108 5.108 132.17 132.17 69.96
Last column: magnetic moment on the atom in μB.
Atoms (fractional coordinates):
Mn 0.750 0.250 0.500  3.24
Sc 0.500 0.500 0.000  -0.36
As 0.250 0.750 0.500  0.01
Sc 0.000 0.000 0.000  -0.36

2.
Ca3Hf2ScP6 | PBE | relaxed

Values from the calculation:
The formation energy is -1.24 eV per atom.

Lattice parameters (Å, degrees): 6.659 6.659 6.977 99.17 99.17 120.03
Atoms (fractional coordinates):
Ca 0.500 0.500 0.500
P 0.074 0.411 0.222
Ca 0.834 0.166 0.500
Hf 0.667 0.333 0.000
Hf 0.333 0.667 0.000
P 0.411 0.074 0.222
P 0.736 0.736 0.222
Ca 0.166 0.834 0.500
P 0.589 0.926 0.778
Sc 0.000 0.000 0.000
P 0.264 0.264 0.778
P 0.926 0.589 0.778

3.
HfTlBi2 | PBE | relaxed

Values from the calculation:
The formation energy is 0.23 eV per atom. For the energy above the most stable polymorph in this dataset, the calculation gives 276 meV/atom.

Lattice parameters (Å, degrees): 5.422 5.422 5.422 60.00 60.00 60.00
Atoms (fractional coordinates):
Hf 0.000 0.000 0.000
Bi 0.750 0.750 0.750
Bi 0.250 0.250 0.250
Tl 0.500 0.500 0.500

4.
Na2In3Ga5 | PBE | relaxed

Values from the calculation:
The formation energy is -0.08 eV per atom.

Lattice parameters (Å, degrees): 4.424 4.424 12.211 90.00 90.00 90.00
Atoms (fractional coordinates):
Na 0.000 0.500 0.780
Ga 0.000 0.000 0.000
Ga 0.500 0.500 0.000
Na 0.500 0.000 0.220
Ga 0.000 0.500 0.122
Ga 0.500 0.500 0.500
Ga 0.500 0.000 0.878
In 0.000 0.000 0.500
In 0.500 0.000 0.658
In 0.000 0.500 0.342

5.
NaAcDy2Hg4 | PBE | relaxed

Values from the calculation:
The formation energy is -0.39 eV per atom.

Lattice parameters (Å, degrees): 5.263 5.263 9.670 74.21 74.21 60.00
Atoms (fractional coordinates):
Hg 0.613 0.613 0.160
Hg 0.873 0.873 0.381
Hg 0.387 0.387 0.840
Na 0.500 0.500 0.500
Ac 0.000 0.000 0.000
Dy 0.241 0.241 0.277
Dy 0.759 0.759 0.723
Hg 0.127 0.127 0.619

6.
As2BrO | PBE | relaxed

Values from the calculation:
For the energy above the most stable polymorph in this dataset, the calculation gives 750 meV/atom. The value obtained for the uncorrected formation energy is 73 kJ/mol of atoms.

Lattice parameters (Å, degrees): 4.589 4.589 4.589 60.00 60.00 60.00
Atoms (fractional coordinates):
O 0.000 0.000 0.000
As 0.250 0.250 0.250
Br 0.500 0.500 0.500
As 0.750 0.750 0.750

7.
Ca3Cd2Ga | PBE | relaxed

Values from the calculation:
The formation energy is -0.39 eV per atom.

Lattice parameters (Å, degrees): 5.345 5.345 6.570 90.00 90.00 120.00
Atoms (fractional coordinates):
Cd 0.667 0.333 0.339
Ca 0.667 0.333 0.844
Ca 0.000 0.000 0.500
Cd 0.333 0.667 0.661
Ca 0.333 0.667 0.156
Ga 0.000 0.000 0.000

8.
TiAg2Se | PBE | relaxed

Values from the calculation:
The value obtained for the uncorrected formation energy is 5 kJ/mol of atoms.

Lattice parameters (Å, degrees): 7.753 7.753 6.069 50.30 50.30 90.00
Atoms (fractional coordinates):
Ag 0.642 0.125 0.250
Ag 0.375 0.358 0.750
Se 0.750 0.250 0.500
Ag 0.108 0.625 0.250
Ti 0.250 0.750 0.500
Ti 0.500 0.500 0.000
Ag 0.875 0.892 0.750
Se 0.000 0.000 0.000

9.
MgSb2Cl | PBE | relaxed

Values from the calculation:
For the energy above the most stable polymorph in this dataset, the calculation gives 251 meV/atom. The value obtained for the uncorrected formation energy is -27 kJ/mol of atoms.

Lattice parameters (Å, degrees): 4.305 4.305 12.304 79.92 79.92 90.00
Atoms (fractional coordinates):
Sb 0.591 0.125 0.250
Sb 0.159 0.625 0.250
Sb 0.375 0.409 0.750
Sb 0.875 0.841 0.750
Cl 0.750 0.250 0.500
Cl 0.000 0.000 0.000
Mg 0.500 0.500 0.000
Mg 0.250 0.750 0.500

10.
PmYHo3Sc | PBE | relaxed

Values from the calculation:
The formation energy is 0.19 eV per atom.

Lattice parameters (Å, degrees): 5.594 10.587 6.579 93.34 90.00 105.32
Atoms (fractional coordinates):
Sc 0.362 0.725 0.519
Ho 0.842 0.685 0.236
Ho 0.479 0.958 0.246
Pm 0.346 0.692 0.954
Sc 0.638 0.275 0.481
Ho 0.158 0.315 0.764
Ho 0.224 0.448 0.299
Pm 0.654 0.308 0.046
Ho 0.521 0.042 0.754
Y 0.938 0.875 0.745
Ho 0.776 0.552 0.701
Y 0.062 0.125 0.255

11.
Ru3AuC | PBE | relaxed

Values from the calculation:
The formation energy is 0.39 eV per atom. For the energy above the most stable polymorph in this dataset, the calculation gives 0 meV/atom.

Lattice parameters (Å, degrees): 4.079 4.079 4.079 90.00 90.00 90.00
Last column: magnetic moment on the atom in μB.
Atoms (fractional coordinates):
C 0.000 0.000 0.000  -0.02
Au 0.500 0.500 0.500  0.12
Ru 0.000 0.000 0.500  0.20
Ru 0.000 0.500 0.000  0.38
Ru 0.500 0.000 0.000  0.55

12.
DyTh2Ni | PBE | relaxed

Values from the calculation:
The formation energy is 0.16 eV per atom. For the energy above the most stable polymorph in this dataset, the calculation gives 380 meV/atom.

Lattice parameters (Å, degrees): 3.599 3.599 10.535 80.17 80.17 60.00
Atoms (fractional coordinates):
Ni 0.500 0.500 0.500
Th 0.893 0.893 0.321
Th 0.107 0.107 0.679
Dy 0.000 0.000 0.000